Crystalline DyUVO6 at its relaxed geometry, computed with PBE+U.

Cell lengths 5.6234, 5.6234, 8.7539 Å; angles 90.00, 90.00, 120.00 degrees
Last column: nearest neighbours and their distance in Å.
Element x y z (fractional)
1 Dy 0.3333 0.6667 0.2500  6 O 2.28
2 Dy 0.6667 0.3333 0.7500  6 O 2.28
3 U 0.6667 0.3333 0.2500  6 O 2.10
4 U 0.3333 0.6667 0.7500  6 O 2.10
5 V 0.0000 0.0000 0.0000  6 O 2.13
6 V 0.0000 0.0000 0.5000  6 O 2.13
7 O 0.6887 0.6637 0.1260  1 U 2.10, 1 V 2.13, 1 Dy 2.28
8 O 0.9750 0.3113 0.1260  1 U 2.10, 1 V 2.13, 1 Dy 2.28
9 O 0.3113 0.9750 0.6260  1 U 2.10, 1 V 2.13, 1 Dy 2.28
10 O 0.0250 0.6887 0.8740  1 U 2.10, 1 V 2.13, 1 Dy 2.28
11 O 0.3363 0.3113 0.3740  1 U 2.10, 1 V 2.13, 1 Dy 2.28
12 O 0.9750 0.6637 0.3740  1 U 2.10, 1 V 2.13, 1 Dy 2.28
13 O 0.6637 0.9750 0.8740  1 U 2.10, 1 V 2.13, 1 Dy 2.28
14 O 0.6887 0.0250 0.3740  1 U 2.10, 1 V 2.13, 1 Dy 2.28
15 O 0.0250 0.3363 0.6260  1 U 2.10, 1 V 2.13, 1 Dy 2.28
16 O 0.3363 0.0250 0.1260  1 U 2.10, 1 V 2.13, 1 Dy 2.28
17 O 0.6637 0.6887 0.6260  1 U 2.10, 1 V 2.13, 1 Dy 2.28
18 O 0.3113 0.3363 0.8740  1 U 2.10, 1 V 2.13, 1 Dy 2.28

## Properties
Spin magnetization = 0.222 μB per atom
Mass density = 7.58 Mg/m³
Uncorrected energy = -8.683 eV per atom